--- one ---
A relaxed structure of KOs3, computed with GGA-PBE.

Cell: 2.7701 2.7701 30.8092 Å, 90.00 90.00 120.00°
Space group R-3m (No. 166, hexagonal axes)
Symmetry-distinct sites (fractional):
K 0.0000 0.0000 0.0000 [3 per cell]
Os 0.0000 0.0000 0.2362 [6 per cell]
Os 0.0000 0.0000 0.5000 [3 per cell]

--- two ---
A relaxed structure of KOs3, computed with GGA-PBE.

Cell: 2.769 2.769 9.432 Å, 90.00 90.00 90.00°
Space group P4/mmm (No. 123)
Symmetry-distinct sites (fractional):
K 0.000 0.000 0.000 [1 per cell]
Os 0.000 0.000 0.500 [1 per cell]
Os 0.500 0.500 0.307 [2 per cell]

--- three ---
A relaxed structure of KOs3, computed with GGA-PBE.

Cell: 4.964 4.964 2.714 Å, 90.00 90.00 90.00°
Space group P4/mmm (No. 123)
Symmetry-distinct sites (fractional):
K 0.000 0.000 0.000 [1 per cell]
Os 0.000 0.500 0.500 [2 per cell]
Os 0.500 0.500 0.000 [1 per cell]

The structures above, arranged from the most stable to the least stable: one, two, three.